Here is Na3Mo5F12 after structural relaxation from Alexandria. Energies are from GGA+U.

- Total moment: 84.0 μB per cell
- Space group: Ia-3d
- Calculated total energy: -4.9907 eV per atom
- D(E_F): 0.22 states/eV/atom

Lattice parameters (Å, degrees): 12.081 12.081 12.081 109.47 109.47 109.47
Site moments in Bohr magnetons follow the coordinates.
Positions (direct):
Mo1 0.875 0.250 0.625  4.15
Mo2 0.250 0.875 0.125  4.15
Mo3 0.500 0.000 0.500  2.81
Mo4 0.500 0.500 0.000  2.81
Mo5 0.000 0.000 0.000  2.81
Mo6 0.625 0.750 0.875  4.15
Mo7 0.000 0.000 0.500  2.81
Mo8 0.125 0.750 0.375  4.15
Mo9 0.375 0.250 0.125  4.15
Mo10 0.750 0.625 0.375  4.15
Mo11 0.375 0.125 0.750  4.15
Mo12 0.250 0.375 0.625  4.15
Mo13 0.000 0.500 0.000  2.81
Mo14 0.875 0.625 0.750  4.15
Mo15 0.625 0.875 0.250  4.15
Mo16 0.500 0.000 0.000  2.81
Mo17 0.750 0.125 0.875  4.15
Mo18 0.125 0.375 0.250  4.15
Mo19 0.500 0.500 0.500  2.81
Mo20 0.000 0.500 0.500  2.81
F1 0.455 0.658 0.053  0.04
F2 0.297 0.902 0.955  0.04
F3 0.947 0.105 0.902  0.04
F4 0.703 0.098 0.045  0.04
F5 0.045 0.447 0.842  0.04
F6 0.105 0.947 0.402  0.04
F7 0.902 0.297 0.455  0.04
F8 0.598 0.553 0.895  0.04
F9 0.395 0.297 0.342  0.04
F10 0.947 0.842 0.545  0.04
F11 0.895 0.053 0.598  0.04
F12 0.053 0.895 0.098  0.04
F13 0.895 0.842 0.797  0.04
F14 0.842 0.947 0.045  0.04
F15 0.342 0.545 0.447  0.04
F16 0.797 0.455 0.402  0.04
F17 0.342 0.797 0.395  0.04
F18 0.605 0.902 0.447  0.04
F19 0.402 0.447 0.105  0.04
F20 0.703 0.605 0.158  0.04
F21 0.605 0.703 0.658  0.04
F22 0.297 0.395 0.842  0.04
F23 0.842 0.895 0.297  0.04
F24 0.955 0.553 0.158  0.04
F25 0.455 0.797 0.902  0.04
F26 0.447 0.402 0.605  0.04
F27 0.553 0.598 0.395  0.04
F28 0.045 0.598 0.703  0.04
F29 0.203 0.658 0.105  0.04
F30 0.545 0.342 0.947  0.04
F31 0.105 0.158 0.203  0.04
F32 0.203 0.545 0.598  0.04
F33 0.658 0.455 0.553  0.04
F34 0.658 0.203 0.605  0.04
F35 0.158 0.105 0.703  0.04
F36 0.797 0.342 0.895  0.04
F37 0.553 0.955 0.658  0.04
F38 0.598 0.045 0.203  0.04
F39 0.402 0.955 0.797  0.04
F40 0.545 0.203 0.098  0.04
F41 0.902 0.605 0.947  0.04
F42 0.158 0.053 0.955  0.04
F43 0.955 0.402 0.297  0.04
F44 0.447 0.045 0.342  0.04
F45 0.395 0.098 0.553  0.04
F46 0.098 0.395 0.053  0.04
F47 0.098 0.703 0.545  0.04
F48 0.053 0.158 0.455  0.04
Na1 0.125 0.875 0.750  0.01
Na2 0.375 0.625 0.250  0.01
Na3 0.625 0.250 0.375  0.01
Na4 0.875 0.750 0.125  0.01
Na5 0.625 0.375 0.750  0.01
Na6 0.750 0.375 0.125  0.01
Na7 0.125 0.250 0.875  0.01
Na8 0.250 0.625 0.875  0.01
Na9 0.750 0.875 0.625  0.01
Na10 0.375 0.750 0.625  0.01
Na11 0.875 0.125 0.250  0.01
Na12 0.250 0.125 0.375  0.01